#P
A relaxed structure of Mg3SnP, computed with GGA-PBE.

Cell lengths 4.9073, 4.9073, 4.9073 Å; angles 90.00, 90.00, 90.00 degrees
With the nearest neighbours (Å) after each atom.
Sites, in units of the cell vectors:
1 P 0.0000 0.0000 0.0000  6 Mg 2.45
2 Mg 0.0000 0.5000 0.0000  2 P 2.45
3 Mg 0.0000 0.0000 0.5000  2 P 2.45
4 Mg 0.5000 0.0000 0.0000  2 P 2.45
5 Sn 0.5000 0.5000 0.5000  12 Mg 3.47

Calculated values
Volume: 23.64 Å³ per atom
Magnetization: 0.0 μB per formula unit
ρ: 3.13 g cm⁻³



#Q
A relaxed structure of Mg3SnP, computed with GGA-PBE.

Cell lengths 5.2529, 5.2529, 5.2529 Å; angles 90.00, 90.00, 90.00 degrees
With the nearest neighbours (Å) after each atom.
Sites, in units of the cell vectors:
1 P 0.5000 0.5000 0.5000  12 Mg 3.71
2 Mg 0.0000 0.5000 0.0000  2 Sn 2.63
3 Mg 0.0000 0.0000 0.5000  2 Sn 2.63
4 Mg 0.5000 0.0000 0.0000  2 Sn 2.63
5 Sn 0.0000 0.0000 0.0000  6 Mg 2.63

Calculated values
Volume: 28.99 Å³ per atom
Magnetization: 1.0 μB per formula unit
ρ: 2.55 g cm⁻³



Most stable pick: #P. Distance to second place: 658 meV per atom.



#P
A relaxed structure of MgSn2P, computed with GGA-PBE.

Cell lengths 3.6464, 3.6464, 9.6434 Å; angles 79.10, 79.10, 60.00 degrees
With the nearest neighbours (Å) after each atom.
Sites, in units of the cell vectors:
1 P 0.5000 0.5000 0.5000  6 Sn 2.72
2 Mg 0.0000 0.0000 0.0000  2 Sn 2.99
3 Sn 0.1057 0.1057 0.6828  3 P 2.72, 1 Mg 2.99
4 Sn 0.8943 0.8943 0.3172  3 P 2.72, 1 Mg 2.99

Calculated values
Volume: 27.09 Å³ per atom
Magnetization: 0.0 μB per formula unit
ρ: 4.49 g cm⁻³



#Q
A relaxed structure of MgSn2P, computed with GGA-PBE.

Cell lengths 5.0631, 5.0631, 5.0631 Å; angles 60.00, 60.00, 60.00 degrees
With the nearest neighbours (Å) after each atom.
Sites, in units of the cell vectors:
1 P 0.5000 0.5000 0.5000  8 Sn 3.10
2 Mg 0.0000 0.0000 0.0000  8 Sn 3.10
3 Sn 0.2500 0.2500 0.2500  4 P 3.10, 4 Mg 3.10
4 Sn 0.7500 0.7500 0.7500  4 Mg 3.10, 4 P 3.10

Calculated values
Volume: 22.94 Å³ per atom
Magnetization: 0.0 μB per formula unit
ρ: 5.30 g cm⁻³



Most stable pick: #P. Distance to second place: 88 meV per atom.



#P
A relaxed structure of MgSnTeP2, computed with GGA-PBE.

Cell lengths 5.1018, 5.7826, 5.1018 Å; angles 90.00, 90.00, 90.00 degrees
With the nearest neighbours (Å) after each atom.
Sites, in units of the cell vectors:
1 P 0.0000 0.0000 0.5000  2 Te 2.55
2 P 0.5000 0.0000 0.0000  2 Te 2.55
3 Mg 0.5000 0.5000 0.5000  4 Sn 3.61, 8 P 3.86
4 Te 0.0000 0.0000 0.0000  4 P 2.55
5 Sn 0.0000 0.5000 0.0000  2 Te 2.89

Calculated values
Volume: 30.10 Å³ per atom
Magnetization: 0.0 μB per formula unit
ρ: 3.67 g cm⁻³



#Q
A relaxed structure of MgSnTeP2, computed with GGA-PBE.

Cell lengths 5.2476, 5.1540, 5.2476 Å; angles 90.00, 90.00, 90.00 degrees
With the nearest neighbours (Å) after each atom.
Sites, in units of the cell vectors:
1 P 0.0000 0.0000 0.5000  2 Te 2.62
2 P 0.5000 0.0000 0.0000  2 Te 2.62
3 Mg 0.0000 0.5000 0.0000  2 Te 2.58
4 Te 0.0000 0.0000 0.0000  2 Mg 2.58, 4 P 2.62
5 Sn 0.5000 0.5000 0.5000  8 P 3.68, 4 Mg 3.71

Calculated values
Volume: 28.39 Å³ per atom
Magnetization: 0.0 μB per formula unit
ρ: 3.89 g cm⁻³



Most stable pick: #Q. Distance to second place: 149 meV per atom.



#P
A relaxed structure of Sr2MgP, computed with GGA-PBE.

Cell lengths 5.5652, 5.5652, 5.5652 Å; angles 60.00, 60.00, 60.00 degrees
With the nearest neighbours (Å) after each atom.
Sites, in units of the cell vectors:
1 Mg 0.5000 0.5000 0.5000  4 P 3.41, 4 Sr 3.41
2 P 0.7500 0.7500 0.7500  4 Mg 3.41, 4 Sr 3.41
3 Sr 0.0000 0.0000 0.0000  4 Sr 3.41, 4 P 3.41
4 Sr 0.2500 0.2500 0.2500  4 Mg 3.41, 4 Sr 3.41

Calculated values
Volume: 30.47 Å³ per atom
Magnetization: 0.0 μB per formula unit
ρ: 3.14 g cm⁻³



#Q
A relaxed structure of Sr2MgP, computed with GGA-PBE.

Cell lengths 4.4309, 4.4309, 9.1639 Å; angles 76.01, 76.01, 59.99 degrees
With the nearest neighbours (Å) after each atom.
Sites, in units of the cell vectors:
1 Mg 0.2500 0.2500 0.2500  6 Sr 3.81
2 P 0.7500 0.7500 0.7500  6 Sr 3.00
3 Sr 0.0238 0.0238 0.9290  3 P 3.00
4 Sr 0.4762 0.4762 0.5710  3 P 3.00

Calculated values
Volume: 37.40 Å³ per atom
Magnetization: 0.0 μB per formula unit
ρ: 2.56 g cm⁻³



Most stable pick: #Q. Distance to second place: 584 meV per atom.



#P
A relaxed structure of MgTa3P, computed with GGA-PBE.

Cell lengths 4.7058, 4.7058, 4.7058 Å; angles 90.00, 90.00, 90.00 degrees
With the nearest neighbours (Å) after each atom.
Sites, in units of the cell vectors:
1 P 0.5000 0.5000 0.5000  12 Ta 3.33
2 Mg 0.0000 0.0000 0.0000  6 Ta 2.35
3 Ta 0.0000 0.5000 0.0000  2 Mg 2.35
4 Ta 0.0000 0.0000 0.5000  2 Mg 2.35
5 Ta 0.5000 0.0000 0.0000  2 Mg 2.35

Calculated values
Volume: 20.84 Å³ per atom
Magnetization: 0.0 μB per formula unit
ρ: 9.53 g cm⁻³



#Q
A relaxed structure of MgTa3P, computed with GGA-PBE.

Cell lengths 4.6405, 4.6405, 4.6405 Å; angles 90.00, 90.00, 90.00 degrees
With the nearest neighbours (Å) after each atom.
Sites, in units of the cell vectors:
1 P 0.0000 0.0000 0.0000  6 Ta 2.32
2 Mg 0.5000 0.5000 0.5000  12 Ta 3.28
3 Ta 0.0000 0.5000 0.0000  2 P 2.32
4 Ta 0.0000 0.0000 0.5000  2 P 2.32
5 Ta 0.5000 0.0000 0.0000  2 P 2.32

Calculated values
Volume: 19.99 Å³ per atom
Magnetization: 0.0 μB per formula unit
ρ: 9.94 g cm⁻³



Most stable pick: #Q. Distance to second place: 1735 meV per atom.



#P
A relaxed structure of MgTaP3, computed with GGA-PBE.

Cell lengths 4.5937, 4.5937, 4.5937 Å; angles 90.00, 90.00, 90.00 degrees
With the nearest neighbours (Å) after each atom.
Sites, in units of the cell vectors:
1 P 0.0000 0.5000 0.0000  2 Mg 2.30
2 P 0.0000 0.0000 0.5000  2 Mg 2.30
3 P 0.5000 0.0000 0.0000  2 Mg 2.30
4 Mg 0.0000 0.0000 0.0000  6 P 2.30
5 Ta 0.5000 0.5000 0.5000  12 P 3.25

Calculated values
Volume: 19.39 Å³ per atom
Magnetization: 0.0 μB per formula unit
ρ: 5.11 g cm⁻³



#Q
A relaxed structure of MgTaP3, computed with GGA-PBE.

Cell lengths 4.8264, 4.8264, 4.8264 Å; angles 90.00, 90.00, 90.00 degrees
With the nearest neighbours (Å) after each atom.
Sites, in units of the cell vectors:
1 P 0.0000 0.5000 0.0000  2 Ta 2.41
2 P 0.0000 0.0000 0.5000  2 Ta 2.41
3 P 0.5000 0.0000 0.0000  2 Ta 2.41
4 Mg 0.5000 0.5000 0.5000  12 P 3.41
5 Ta 0.0000 0.0000 0.0000  6 P 2.41

Calculated values
Volume: 22.49 Å³ per atom
Magnetization: 0.0 μB per formula unit
ρ: 4.40 g cm⁻³



Most stable pick: #Q. Distance to second place: 1090 meV per atom.